## TmNp2NiS5 (PBE)

Data for a relaxed TmNp2NiS5 crystal.

Values from the calculation:
Energy, eV/atom: -7.72
SG: Cmc2_1
Crystal system: orthorhombic
Spin magnetization, μB/cell: 14.00

Lattice parameters (Å, degrees): 8.319 8.319 11.582 90.00 90.00 154.13
Positions (direct):
Tm  0.178  0.822  0.500
Tm  0.822  0.178  0.000
Np  0.107  0.893  0.823
Np  0.118  0.882  0.169
Np  0.882  0.118  0.669
Np  0.893  0.107  0.323
Ni  0.447  0.553  0.891
Ni  0.553  0.447  0.391
S  0.013  0.987  0.487
S  0.303  0.697  0.166
S  0.315  0.685  0.831
S  0.344  0.656  0.494
S  0.496  0.504  0.220
S  0.504  0.496  0.720
S  0.656  0.344  0.994
S  0.685  0.315  0.331
S  0.697  0.303  0.666
S  0.987  0.013  0.987

## Np2UNiS5 (PBE)

Data for a relaxed Np2UNiS5 crystal.

Values from the calculation:
Energy, eV/atom: -8.33
SG: Cmc2_1
Crystal system: orthorhombic
Spin magnetization, μB/cell: 19.55

Lattice parameters (Å, degrees): 8.247 8.247 11.698 90.00 90.00 153.76
Positions (direct):
Np  0.111  0.889  0.500
Np  0.117  0.883  0.847
Np  0.883  0.117  0.347
Np  0.889  0.111  0.000
U  0.180  0.820  0.177
U  0.820  0.180  0.677
Ni  0.447  0.553  0.568
Ni  0.553  0.447  0.068
S  0.015  0.985  0.164
S  0.302  0.698  0.843
S  0.315  0.685  0.510
S  0.346  0.654  0.172
S  0.494  0.506  0.899
S  0.506  0.494  0.399
S  0.654  0.346  0.672
S  0.685  0.315  0.010
S  0.698  0.302  0.343
S  0.985  0.015  0.664

## Np2UNi2S7 (PBE)

Data for a relaxed Np2UNi2S7 crystal.

Values from the calculation:
Energy, eV/atom: -7.34
SG: C2/m
Crystal system: monoclinic
Spin magnetization, μB/cell: 8.98

Lattice parameters (Å, degrees): 4.256 4.256 12.219 97.60 97.60 88.74
Positions (direct):
Np  0.110  0.110  0.342
Np  0.890  0.890  0.658
U  0.000  0.000  0.000
Ni  0.415  0.415  0.747
Ni  0.585  0.585  0.253
S  0.067  0.562  0.189
S  0.271  0.271  0.567
S  0.438  0.933  0.811
S  0.500  0.500  0.000
S  0.562  0.067  0.189
S  0.729  0.729  0.433
S  0.933  0.438  0.811

## Np2VNiS5 (PBE)

Data for a relaxed Np2VNiS5 crystal.

Values from the calculation:
Energy, eV/atom: -7.93
SG: Cmc2_1
Crystal system: orthorhombic
Spin magnetization, μB/cell: 17.85

Lattice parameters (Å, degrees): 8.019 8.019 11.085 90.00 90.00 153.39
Positions (direct):
Np  0.108  0.892  0.500
Np  0.127  0.873  0.860
Np  0.873  0.127  0.360
Np  0.892  0.108  0.000
V  0.175  0.825  0.183
V  0.825  0.175  0.683
Ni  0.438  0.562  0.589
Ni  0.562  0.438  0.089
S  0.021  0.979  0.184
S  0.302  0.698  0.532
S  0.308  0.692  0.832
S  0.337  0.663  0.178
S  0.496  0.504  0.411
S  0.504  0.496  0.911
S  0.663  0.337  0.678
S  0.692  0.308  0.332
S  0.698  0.302  0.032
S  0.979  0.021  0.684